This record from the Alexandria database describes a crystal of TiCo2Pd2 relaxed with PBEsol. The functional is meta-GGA SCAN.

Cell lengths 5.970, 5.970, 5.970 Å; angles 144.53, 144.53, 51.04 degrees
Positions (direct):
1 Ti 0.000 0.000 0.000
2 Co 0.405 0.405 0.000
3 Co 0.595 0.595 0.000
4 Pd 0.250 0.750 0.500
5 Pd 0.750 0.250 0.500

Results
The calculation puts the formation energy at 0.06 eV/atom. As for the total energy: -115.9 eV for the cell shown. The total magnetic moment comes out at 3.21 μB/f.u.